Record 1
Material: Zr2Co
Method: DFT, PBE-GGA
State: relaxed

Unit cell a=3.320 b=3.320 c=6.125 alpha=90.00 beta=90.00 gamma=120.00
Atoms (fractional coordinates):
Co: 0.000 0.000 0.000
Zr: 0.333 0.667 0.283
Zr: 0.667 0.333 0.717

Results
ΔH_f (0 K): 0.02 eV per atom

---

Record 2
Material: TlC5
Method: DFT, PBE-GGA
State: relaxed

Unit cell a=4.614 b=4.614 c=4.614 alpha=60.00 beta=60.00 gamma=60.00
Atoms (fractional coordinates):
C: 0.585 0.244 0.585
C: 0.585 0.585 0.585
C: 0.585 0.585 0.244
C: 0.244 0.585 0.585
C: 0.250 0.250 0.250
Tl: 0.000 0.000 0.000

Results
offset from the most stable computed form: 2238 meV per atom
ΔH_f (0 K): 3.23 eV per atom

---

Record 3
Material: CuMoPb2
Method: DFT, PBE-GGA
State: relaxed

Unit cell a=3.170 b=3.170 c=8.727 alpha=90.00 beta=90.00 gamma=105.53
Atoms (fractional coordinates):
Pb: 0.000 0.000 0.005
Pb: 0.000 0.000 0.495
Cu: 0.500 0.500 0.250
Mo: 0.500 0.500 0.750

Results
offset from the most stable computed form: 277 meV per atom
ΔH_f (0 K): 0.71 eV per atom

---

Record 4
Material: SrCu2PdPb
Method: DFT, PBE-GGA
State: relaxed

Unit cell a=4.923 b=5.218 c=4.923 alpha=90.00 beta=90.00 gamma=90.00
Atoms (fractional coordinates):
Sr: 0.500 0.500 0.500
Cu: 0.500 0.000 0.000
Cu: 0.000 0.000 0.500
Pd: 0.000 0.500 0.000
Pb: 0.000 0.000 0.000

Results
ΔH_f (0 K): 0.16 eV per atom

---

Record 5
Material: NaMg3Tl
Method: DFT, PBE-GGA
State: relaxed

Unit cell a=5.462 b=5.462 c=5.462 alpha=90.00 beta=90.00 gamma=90.00
Atoms (fractional coordinates):
Mg: 0.500 0.000 0.000
Mg: 0.000 0.500 0.000
Mg: 0.000 0.000 0.500
Na: 0.000 0.000 0.000
Tl: 0.500 0.500 0.500

Results
offset from the most stable computed form: 313 meV per atom
ΔH_f (0 K): 0.57 eV per atom

---

Record 6
Material: NbP2Au
Method: DFT, PBE-GGA
State: relaxed

Unit cell a=5.660 b=5.660 c=6.865 alpha=65.66 beta=65.66 gamma=90.00
Atoms (fractional coordinates):
Nb: 0.500 0.500 0.000
P: 0.133 0.625 0.250
P: 0.617 0.125 0.250
Au: 0.750 0.250 0.500
Au: 0.000 0.000 0.000
Nb: 0.250 0.750 0.500
P: 0.375 0.383 0.750
P: 0.875 0.867 0.750

Results
offset from the most stable computed form: 0 meV per atom
ΔH_f (0 K): -0.03 eV per atom

---

Record 7
Material: TbSm2Te
Method: DFT, PBE-GGA
State: relaxed

Unit cell a=4.013 b=6.420 c=10.072 alpha=90.00 beta=90.00 gamma=108.20
Atoms (fractional coordinates):
Te: 0.765 0.531 0.750
Te: 0.235 0.469 0.250
Tb: 0.941 0.881 0.250
Sm: 0.635 0.270 0.463
Sm: 0.635 0.270 0.037
Sm: 0.365 0.730 0.963
Sm: 0.365 0.730 0.537
Tb: 0.059 0.119 0.750

Results
offset from the most stable computed form: 0 meV per atom

---

Record 8
Material: Li4NdTm
Method: DFT, PBE-GGA
State: relaxed

Unit cell a=5.870 b=5.870 c=5.870 alpha=60.00 beta=60.00 gamma=60.00
Atoms (fractional coordinates):
Li: 0.625 0.124 0.625
Tm: 0.000 0.000 0.000
Li: 0.625 0.625 0.625
Nd: 0.250 0.250 0.250
Li: 0.124 0.625 0.625
Li: 0.625 0.625 0.124

Results
ΔH_f (0 K): 0.11 eV per atom

---

Record 9
Material: BaGe2Au2
Method: DFT, PBE-GGA
State: relaxed

Unit cell a=8.341 b=8.341 c=3.318 alpha=90.00 beta=90.00 gamma=90.00
Atoms (fractional coordinates):
Au: 0.651 0.849 0.500
Ba: 0.500 0.500 0.000
Ge: 0.371 0.871 0.000
Ba: 0.000 0.000 0.000
Ge: 0.629 0.129 0.000
Ge: 0.871 0.629 0.000
Au: 0.349 0.151 0.500
Ge: 0.129 0.371 0.000
Au: 0.849 0.349 0.500
Au: 0.151 0.651 0.500

Results
ΔH_f (0 K): -0.13 eV per atom

---

Record 10
Material: Pm5AgSe8
Method: DFT, PBE-GGA
State: relaxed

Unit cell a=7.697 b=7.697 c=7.697 alpha=109.83 beta=108.76 gamma=109.83
Atoms (fractional coordinates):
Pm: 0.870 0.882 0.249
Pm: 0.367 0.118 0.988
Pm: 0.500 0.000 0.500
Se: 0.616 0.889 0.865
Se: 0.117 0.759 0.512
Se: 0.135 0.750 0.023
Se: 0.753 0.241 0.358
Se: 0.273 0.250 0.384
Se: 0.488 0.605 0.247
Se: 0.977 0.111 0.727
Pm: 0.012 0.378 0.130
Ag: 0.250 0.500 0.750
Se: 0.642 0.395 0.883
Pm: 0.751 0.622 0.633

Results
uncorrected energy: -5.575 eV per atom

---

Record 11
Material: Ho3Er2In2
Method: DFT, PBE-GGA
State: relaxed

Unit cell a=4.937 b=3.427 c=11.894 alpha=90.00 beta=78.02 gamma=90.00
Atoms (fractional coordinates):
Ho: 0.856 0.000 0.289
Er: 0.286 0.500 0.428
In: 0.571 0.500 0.857
Ho: 0.144 0.000 0.711
In: 0.429 0.500 0.143
Ho: 0.000 0.000 0.000
Er: 0.714 0.500 0.572

Results
offset from the most stable computed form: 117 meV per atom
ΔH_f (0 K): -0.15 eV per atom

---

Record 12
Material: AlZn2Cd
Method: DFT, PBE-GGA
State: relaxed

Unit cell a=9.873 b=9.873 c=9.873 alpha=16.91 beta=16.91 gamma=16.91
Atoms (fractional coordinates):
Cd: 0.750 0.750 0.750
Al: 0.508 0.508 0.508
Zn: 0.992 0.992 0.992
Zn: 0.250 0.250 0.250

Results
offset from the most stable computed form: 18 meV per atom
ΔH_f (0 K): 0.08 eV per atom

---

Record 13
Material: Nd2ZnSnAu6
Method: DFT, PBE-GGA
State: relaxed

Unit cell a=5.637 b=9.548 c=8.806 alpha=90.00 beta=90.00 gamma=90.00
Atoms (fractional coordinates):
Nd: 0.000 0.259 0.745
Nd: 0.500 0.741 0.245
Au: 0.000 0.895 0.257
Au: 0.748 0.478 0.500
Nd: 0.000 0.259 0.255
Au: 0.248 0.522 0.000
Sn: 0.500 0.278 0.000
Sn: 0.000 0.722 0.500
Au: 0.253 0.978 0.000
Au: 0.753 0.022 0.500
Au: 0.752 0.522 0.000
Nd: 0.500 0.741 0.755
Au: 0.252 0.478 0.500
Au: 0.500 0.105 0.757
Zn: 0.000 0.746 0.000
Au: 0.500 0.105 0.243
Au: 0.747 0.978 0.000
Zn: 0.500 0.254 0.500
Au: 0.247 0.022 0.500
Au: 0.000 0.895 0.743

Results
ΔH_f (0 K): -0.44 eV per atom

---

Record 14
Material: Nd5CdPt2
Method: DFT, PBE-GGA
State: relaxed

Unit cell a=8.152 b=8.152 c=8.951 alpha=117.09 beta=117.09 gamma=90.00
Atoms (fractional coordinates):
Nd: 0.202 0.023 0.725
Pt: 0.133 0.367 0.000
Nd: 0.023 0.523 0.725
Nd: 0.500 0.500 0.000
Cd: 0.250 0.250 0.500
Pt: 0.633 0.133 0.000
Nd: 0.298 0.798 0.275
Nd: 0.477 0.298 0.275
Nd: 0.523 0.702 0.725
Nd: 0.702 0.202 0.725
Nd: 0.000 0.000 0.000
Nd: 0.798 0.977 0.275
Pt: 0.867 0.633 0.000
Nd: 0.977 0.477 0.275
Cd: 0.750 0.750 0.500
Pt: 0.367 0.867 0.000

Results
ΔH_f (0 K): -0.67 eV per atom

---

Record 15
Material: CoIr2Se
Method: DFT, PBE-GGA
State: relaxed

Unit cell a=4.519 b=4.519 c=2.841 alpha=90.00 beta=90.00 gamma=90.00
Atoms (fractional coordinates):
Se: 0.500 0.000 0.500
Ir: 0.000 0.000 0.000
Ir: 0.500 0.500 0.000
Co: 0.000 0.500 0.500

Results
uncorrected energy: -6.553 eV per atom

---

Record 16
Material: SrCu2Pd6
Method: DFT, PBE-GGA
State: relaxed

Unit cell a=8.048 b=8.048 c=8.048 alpha=60.00 beta=60.00 gamma=60.00
Atoms (fractional coordinates):
Pd: 0.249 0.751 0.751
Cu: 0.125 0.625 0.125
Sr: 0.500 0.500 0.500
Sr: 0.750 0.750 0.750
Pd: 0.751 0.249 0.249
Pd: 0.751 0.249 0.751
Pd: 0.499 0.001 0.499
Pd: 0.751 0.751 0.249
Pd: 0.001 0.499 0.499
Cu: 0.125 0.125 0.625
Pd: 0.499 0.499 0.001
Pd: 0.249 0.751 0.249
Cu: 0.625 0.125 0.125
Pd: 0.001 0.001 0.499
Pd: 0.499 0.001 0.001
Pd: 0.249 0.249 0.751
Cu: 0.125 0.125 0.125
Pd: 0.001 0.499 0.001

Results
ΔH_f (0 K): 0.28 eV per atom

---

Record 17
Material: Li2CuH6Ru
Method: DFT, PBE-GGA
State: relaxed

Unit cell a=4.840 b=4.832 c=4.774 alpha=59.02 beta=58.65 gamma=90.38
Atoms (fractional coordinates):
Cu: 0.500 0.500 0.000
Li: 0.248 0.750 0.499
Li: 0.752 0.250 0.501
H: 0.721 0.699 0.078
H: 0.746 0.246 0.987
H: 0.254 0.754 0.013
H: 0.818 0.818 0.502
H: 0.279 0.301 0.922
H: 0.182 0.182 0.498
Ru: 0.000 0.000 0.000

Results
uncorrected energy: -3.846 eV per atom

---

Record 18
Material: SbPt2C
Method: DFT, PBE-GGA
State: relaxed

Unit cell a=4.465 b=4.465 c=4.465 alpha=60.00 beta=60.00 gamma=60.00
Atoms (fractional coordinates):
C: 0.000 0.000 0.000
Pt: 0.250 0.250 0.250
Pt: 0.750 0.750 0.750
Sb: 0.500 0.500 0.500

Results
offset from the most stable computed form: 814 meV per atom

---

Record 19
Material: Tm2PuSc3S6
Method: DFT, PBE-GGA
State: relaxed

Unit cell a=3.772 b=7.594 c=8.467 alpha=102.97 beta=102.87 gamma=90.00
Atoms (fractional coordinates):
S: 0.003 0.738 0.005
Tm: 0.164 0.329 0.328
Pu: 0.500 0.000 0.000
S: 0.672 0.081 0.345
S: 0.328 0.919 0.655
S: 0.334 0.410 0.668
Sc: 0.500 0.500 0.000
Sc: 0.164 0.838 0.329
S: 0.997 0.262 0.995
S: 0.666 0.590 0.332
Sc: 0.836 0.162 0.671
Tm: 0.836 0.671 0.672

Results
uncorrected energy: -7.476 eV per atom

---

Record 20
Material: Pm2YH
Method: DFT, PBE-GGA
State: relaxed

Unit cell a=3.426 b=3.426 c=8.620 alpha=90.00 beta=90.00 gamma=90.00
Atoms (fractional coordinates):
Y: 0.500 0.500 0.500
Pm: 0.000 0.000 0.190
H: 0.500 0.500 0.000
Pm: 0.000 0.000 0.810

Results
offset from the most stable computed form: 250 meV per atom